A plane-wave DFT calculation with SCAN was carried out for a PBEsol-optimized structure of PtRhCl2.

```
PtRhCl2
1.0
-0.5148 -1.9312 -3.9319
-1.6401 -4.0867 -0.2520
-4.0490 -0.6552 -1.6220
Rh Pt Cl
1 1 2
Cartesian
0.0000 0.0000 0.0000
-3.1019 -3.3365 -2.9029
-4.6529 -5.0048 -4.3544
-1.5510 -1.6683 -1.4515
```

Output
DFT total energy ... -29.160 eV/atom
Offset from the most stable computed form ... 0.3912 eV per atom
Space group ... Fm-3m (225)
Density ... 10.1 g cm⁻³
V ... 60.67 Å³ per cell
Formation energy without anion corrections ... 0.82 eV/atom